No. 1
Computed, not measured: CoTeMo after structural relaxation at the PBE level of DFT.

## Properties
Distance to the lowest polymorph of the same formula ... 0.035 eV/atom
V ... 53.5 Å³ per cell
DOS at the Fermi energy ... 3.2 states/eV/cell
Crystal system ... cubic
VASP energy ... -6.5896 eV/atom
Raw formation energy ... 0.4366 eV/atom

Unit cell a=4.2283 b=4.2283 c=4.2283 alpha=60.00 beta=60.00 gamma=60.00
Closest atoms and distances in Å follow each position.
Positions (direct):
Co  0.7500  0.7500  0.7500  4 Te 2.59, 4 Mo 2.59
Mo  0.0000  0.0000  0.0000  4 Co 2.59
Te  0.5000  0.5000  0.5000  4 Co 2.59

---

No. 2
Computed, not measured: Co2TeMo after structural relaxation at the PBE level of DFT.

## Properties
V ... 59.1 Å³ per cell
DOS at the Fermi energy ... 4.1 states/eV/cell
Crystal system ... tetragonal
VASP energy ... -6.7458 eV/atom
Raw formation energy ... 0.3003 eV/atom

Unit cell a=3.3116 b=3.3116 c=5.3851 alpha=90.00 beta=90.00 gamma=90.00
Closest atoms and distances in Å follow each position.
Positions (direct):
Te  0.5000  0.5000  0.7500  2 Mo 2.69, 8 Co 2.77
Mo  0.5000  0.5000  0.2500  8 Co 2.64, 2 Te 2.69
Co  0.0000  0.0000  0.4762  1 Co 2.44, 4 Mo 2.64
Co  0.0000  0.0000  0.0238  1 Co 2.44, 4 Mo 2.64

---

No. 3
Computed, not measured: CoTe2Mo after structural relaxation at the PBE level of DFT.

## Properties
Distance to the lowest polymorph of the same formula ... 0.456 eV/atom
V ... 71.9 Å³ per cell
DOS at the Fermi energy ... 4.0 states/eV/cell
Crystal system ... tetragonal
VASP energy ... -5.6174 eV/atom
Raw formation energy ... 0.4377 eV/atom

Unit cell a=4.6348 b=4.6336 c=3.3466 alpha=90.00 beta=90.00 gamma=90.00
Closest atoms and distances in Å follow each position.
Positions (direct):
Te  0.0000  0.0000  0.0000  4 Mo 2.86, 4 Co 2.86
Te  0.5000  0.5000  0.0000  4 Co 2.86, 4 Mo 2.86
Co  0.5000  0.0000  0.5000  8 Te 2.86
Mo  0.0000  0.5000  0.5000  8 Te 2.86

---

No. 4
Computed, not measured: Co2TeMo after structural relaxation at the PBE level of DFT.

## Properties
V ... 58.3 Å³ per cell
DOS at the Fermi energy ... 5.7 states/eV/cell
Crystal system ... cubic
VASP energy ... -6.6522 eV/atom
Raw formation energy ... 0.3940 eV/atom

Unit cell a=4.3525 b=4.3525 c=4.3525 alpha=60.00 beta=60.00 gamma=60.00
Closest atoms and distances in Å follow each position.
Positions (direct):
Co  0.2500  0.2500  0.2500  4 Co 2.67, 4 Mo 2.67
Co  0.0000  0.0000  0.0000  4 Te 2.67, 4 Co 2.67
Mo  0.5000  0.5000  0.5000  4 Co 2.67, 4 Te 2.67
Te  0.7500  0.7500  0.7500  4 Mo 2.67, 4 Co 2.67

---

No. 5
Computed, not measured: Co2TeMo after structural relaxation at the PBE level of DFT.

## Properties
V ... 63.0 Å³ per cell
DOS at the Fermi energy ... 5.4 states/eV/cell
Crystal system ... trigonal
VASP energy ... -6.5037 eV/atom
Raw formation energy ... 0.5425 eV/atom

Unit cell a=8.2009 b=8.2009 c=8.2009 alpha=21.16 beta=21.16 gamma=21.16
Closest atoms and distances in Å follow each position.
Positions (direct):
Mo  0.2500  0.2500  0.2500  6 Co 2.54
Co  0.5062  0.5062  0.5062  3 Mo 2.54, 3 Te 2.77
Co  0.9938  0.9938  0.9938  3 Mo 2.54, 3 Te 2.77
Te  0.7500  0.7500  0.7500  6 Co 2.77, 6 Te 3.01

---

No. 6
Computed, not measured: CoTe2Mo after structural relaxation at the PBE level of DFT.

## Properties
Distance to the lowest polymorph of the same formula ... 0.329 eV/atom
V ... 75.8 Å³ per cell
DOS at the Fermi energy ... 3.9 states/eV/cell
Crystal system ... trigonal
VASP energy ... -5.7441 eV/atom
Raw formation energy ... 0.3110 eV/atom

Unit cell a=7.8914 b=7.8914 c=7.8914 alpha=24.76 beta=24.76 gamma=24.76
Closest atoms and distances in Å follow each position.
Positions (direct):
Te  0.5036  0.5036  0.5036  3 Co 2.68, 3 Mo 2.79
Te  0.9964  0.9964  0.9964  3 Co 2.68, 3 Mo 2.79
Co  0.2500  0.2500  0.2500  6 Te 2.68
Mo  0.7500  0.7500  0.7500  6 Te 2.79

---

No. 7
Computed, not measured: Co2TeMo after structural relaxation at the PBE level of DFT.

## Properties
V ... 58.4 Å³ per cell
DOS at the Fermi energy ... 4.9 states/eV/cell
Crystal system ... orthorhombic
VASP energy ... -6.6074 eV/atom
Raw formation energy ... 0.4387 eV/atom

Unit cell a=4.5270 b=4.5270 c=2.9948 alpha=89.98 beta=89.98 gamma=107.84
Closest atoms and distances in Å follow each position.
Positions (direct):
Co  0.0000  0.0000  0.0000  2 Co 2.67, 4 Mo 2.71, 4 Te 2.71
Co  0.5000  0.5000  0.0000  2 Co 2.67, 4 Te 2.71, 4 Mo 2.71
Te  0.0000  0.5000  0.5000  2 Mo 2.67, 8 Co 2.71
Mo  0.5000  0.0000  0.5000  2 Te 2.67, 8 Co 2.71

---

No. 8
Computed, not measured: Co2TeMo2 after structural relaxation at the PBE level of DFT.

## Properties
V ... 80.8 Å³ per cell
DOS at the Fermi energy ... 5.4 states/eV/cell
Crystal system ... tetragonal
VASP energy ... -7.3396 eV/atom
Raw formation energy ... 0.4635 eV/atom

Unit cell a=6.0856 b=6.0856 c=6.0856 alpha=143.08 beta=143.08 gamma=53.21
Closest atoms and distances in Å follow each position.
Positions (direct):
Co  0.3950  0.3950  0.0000  1 Co 2.28, 4 Mo 2.49
Co  0.6050  0.6050  0.0000  1 Co 2.28, 4 Mo 2.49
Mo  0.7500  0.2500  0.5000  4 Co 2.49, 4 Mo 2.73
Mo  0.2500  0.7500  0.5000  4 Co 2.49, 4 Mo 2.73
Te  0.0000  0.0000  0.0000  8 Co 2.95

---

No. 9
Computed, not measured: CoTeMo after structural relaxation at the PBE level of DFT.

## Properties
Distance to the lowest polymorph of the same formula ... 0.147 eV/atom
V ... 51.5 Å³ per cell
DOS at the Fermi energy ... 4.2 states/eV/cell
Crystal system ... trigonal
VASP energy ... -6.4782 eV/atom
Raw formation energy ... 0.5480 eV/atom

Unit cell a=3.1760 b=3.1760 c=5.8947 alpha=90.00 beta=90.00 gamma=120.00
Closest atoms and distances in Å follow each position.
Positions (direct):
Co  0.0000  0.0000  0.0215  3 Mo 2.48, 3 Te 2.75
Te  0.3333  0.6667  0.6737  3 Co 2.75, 3 Mo 2.84
Mo  0.6667  0.3333  0.3048  3 Co 2.48

---

No. 10
Computed, not measured: CoTe2Mo after structural relaxation at the PBE level of DFT.

## Properties
Distance to the lowest polymorph of the same formula ... 0.000 eV/atom
V ... 89.9 Å³ per cell
DOS at the Fermi energy ... 4.3 states/eV/cell
Crystal system ... monoclinic
VASP energy ... -6.0730 eV/atom
Raw formation energy ... -0.0180 eV/atom

Unit cell a=3.9002 b=3.9002 c=7.1850 alpha=74.33 beta=74.33 gamma=60.01
Closest atoms and distances in Å follow each position.
Positions (direct):
Mo  0.2216  0.2216  0.3352  3 Co 2.39
Co  0.5164  0.5164  0.4514  3 Mo 2.39, 3 Te 2.57
Te  0.7898  0.7898  0.6322  3 Co 2.57
Te  0.9723  0.9723  0.0812  3 Mo 2.84

---

No. 11
Computed, not measured: CoTeMo3 after structural relaxation at the PBE level of DFT.

## Properties
Distance to the lowest polymorph of the same formula ... 0.000 eV/atom
V ... 93.1 Å³ per cell
DOS at the Fermi energy ... 5.8 states/eV/cell
Crystal system ... cubic
VASP energy ... -7.4244 eV/atom
Raw formation energy ... 1.1237 eV/atom

Unit cell a=4.5317 b=4.5317 c=4.5317 alpha=90.00 beta=90.00 gamma=90.00
Closest atoms and distances in Å follow each position.
Positions (direct):
Mo  0.0000  0.5000  0.0000  2 Co 2.27
Mo  0.5000  0.0000  0.0000  2 Co 2.27
Mo  0.0000  0.0000  0.5000  2 Co 2.27
Co  0.0000  0.0000  0.0000  6 Mo 2.27
Te  0.5000  0.5000  0.5000  12 Mo 3.20

---

No. 12
Computed, not measured: Co2TeMo after structural relaxation at the PBE level of DFT.

## Properties
V ... 59.2 Å³ per cell
DOS at the Fermi energy ... 4.1 states/eV/cell
Crystal system ... tetragonal
VASP energy ... -6.6760 eV/atom
Raw formation energy ... 0.3701 eV/atom

Unit cell a=3.1981 b=3.1975 c=5.7884 alpha=90.00 beta=90.00 gamma=90.00
Closest atoms and distances in Å follow each position.
Positions (direct):
Te  0.5000  0.5000  0.7833  5 Co 2.64-2.65, 4 Mo 2.95
Co  0.5000  0.5000  0.2399  4 Mo 2.58, 4 Co 2.59, 1 Te 2.64
Co  0.0000  0.0000  0.0207  1 Mo 2.52, 4 Co 2.59, 4 Te 2.65
Mo  0.0000  0.0000  0.4562  5 Co 2.52-2.58

---

No. 13
Computed, not measured: CoTe6Mo after structural relaxation at the PBE level of DFT.

## Properties
V ... 204.6 Å³ per cell
DOS at the Fermi energy ... 5.2 states/eV/cell
Crystal system ... triclinic
VASP energy ... -4.6103 eV/atom
Raw formation energy ... -0.0119 eV/atom

Unit cell a=6.6465 b=6.6652 c=6.6057 alpha=59.33 beta=59.32 gamma=59.87
Closest atoms and distances in Å follow each position.
Positions (direct):
Te  0.4227  0.7736  0.7403  1 Co 2.57, 1 Mo 2.70
Te  0.2335  0.9382  0.2510  1 Co 2.57, 1 Mo 2.69
Te  0.0596  0.4245  0.7411  1 Co 2.57, 1 Mo 2.69
Te  0.9404  0.5755  0.2589  1 Co 2.57, 1 Mo 2.69
Te  0.7665  0.0618  0.7490  1 Co 2.57, 1 Mo 2.69
Te  0.5773  0.2264  0.2597  1 Co 2.57, 1 Mo 2.70
Mo  0.5000  0.5000  0.5000  6 Te 2.69-2.70
Co  0.0000  0.0000  0.0000  6 Te 2.57

---

For reference, magnetic moment by record: 2.9; 0.0; 0.2; 1.8; 2.0; 1.1; 1.0; 0.0; 0.0; 0.0; 0.0; 0.4; 0.0 μB/cell.